Record 1
Material: GdP4H4NO12
Method: DFT, PBE
State: relaxed

Calculated values
The theoretical density comes out at 3.6 Mg/m³. The total energy comes out at -605.15 eV for the cell shown.

Cell: 7.703 12.207 10.366 Å, 90.00 110.58 90.00°
Space group C2/c (No. 15)
Asymmetric unit:
Gd 0.000 0.119 0.250 (multiplicity 4)
P 0.038 0.325 0.500 (multiplicity 8)
P 0.214 0.481 0.930 (multiplicity 8)
H 0.056 0.127 0.835 (multiplicity 8)
H 0.104 0.226 0.737 (multiplicity 8)
N 0.000 0.178 0.750 (multiplicity 4)
O 0.062 0.423 0.407 (multiplicity 8)
O 0.067 0.236 0.096 (multiplicity 8)
O 0.096 0.373 0.925 (multiplicity 8)
O 0.142 0.007 0.929 (multiplicity 8)
O 0.214 0.295 0.616 (multiplicity 8)
O 0.229 0.021 0.194 (multiplicity 8)

Record 2
Material: Gd2Tm3LuTe2Os
Method: DFT, PBE
State: relaxed

Calculated values
The theoretical density comes out at 10.1 Mg/m³. The total energy comes out at -102.75 eV for the cell shown.

Cell: 4.043 14.436 8.139 Å, 90.00 90.00 90.00°
Space group Amm2 (No. 38)
Asymmetric unit:
Gd 0.000 0.197 0.000 (multiplicity 4)
Tm 0.500 0.000 0.037 (multiplicity 2)
Tm 0.500 0.120 0.686 (multiplicity 4)
Lu 0.000 0.000 0.423 (multiplicity 2)
Te 0.500 0.166 0.305 (multiplicity 4)
Os 0.000 0.000 0.786 (multiplicity 2)

Record 3
Material: SmTlZn
Method: DFT, PBE
State: relaxed

Calculated values
The theoretical density comes out at 7.9 Mg/m³. The total energy comes out at -32.17 eV for the cell shown.

Cell: 7.083 7.083 7.083 Å, 90.00 90.00 90.00°
Space group F-43m (No. 216)
Asymmetric unit:
Sm 0.000 0.000 0.000 (multiplicity 4)
Tl 0.250 0.250 0.750 (multiplicity 4)
Zn 0.250 0.250 0.250 (multiplicity 4)

Record 4
Material: Tb3Hf3W2N12
Method: DFT, PBE
State: relaxed

Calculated values
The theoretical density comes out at 9.5 Mg/m³. The total energy comes out at -1493.54 eV for the cell shown.

Cell: 12.923 12.923 12.923 Å, 90.00 90.00 90.00°
Space group Ia-3d (No. 230)
Asymmetric unit:
Tb 0.000 0.250 0.125 (multiplicity 24)
Hf 0.000 0.250 0.375 (multiplicity 24)
W 0.000 0.000 0.000 (multiplicity 16)
N 0.027 0.057 0.644 (multiplicity 96)

Record 5
Material: CsUGe
Method: DFT, PBE
State: relaxed

Calculated values
The theoretical density comes out at 7.5 Mg/m³. The total energy comes out at -53.91 eV for the cell shown.

Cell: 7.316 7.316 7.316 Å, 90.00 90.00 90.00°
Space group F-43m (No. 216)
Asymmetric unit:
Cs 0.000 0.000 0.000 (multiplicity 4)
U 0.250 0.250 0.250 (multiplicity 4)
Ge 0.000 0.000 0.500 (multiplicity 4)

Record 6
Material: CuBiPF
Method: DFT, PBE
State: relaxed

Calculated values
The theoretical density comes out at 6.1 Mg/m³. The total energy comes out at -31.66 eV for the cell shown.

Cell: 4.684 4.684 7.996 Å, 90.00 90.00 90.00°
Space group P4/nmm (No. 129, origin choice 2)
Asymmetric unit:
Cu 0.250 0.250 0.038 (multiplicity 2)
Bi 0.250 0.750 0.500 (multiplicity 2)
P 0.250 0.250 0.309 (multiplicity 2)
F 0.250 0.750 0.000 (multiplicity 2)

Please write out number 1 again, unchanged.
Material: GdP4H4NO12
Method: DFT, PBE
State: relaxed

Calculated values
The theoretical density comes out at 3.6 Mg/m³. The total energy comes out at -605.15 eV for the cell shown.

Cell: 7.703 12.207 10.366 Å, 90.00 110.58 90.00°
Space group C2/c (No. 15)
Asymmetric unit:
Gd 0.000 0.119 0.250 (multiplicity 4)
P 0.038 0.325 0.500 (multiplicity 8)
P 0.214 0.481 0.930 (multiplicity 8)
H 0.056 0.127 0.835 (multiplicity 8)
H 0.104 0.226 0.737 (multiplicity 8)
N 0.000 0.178 0.750 (multiplicity 4)
O 0.062 0.423 0.407 (multiplicity 8)
O 0.067 0.236 0.096 (multiplicity 8)
O 0.096 0.373 0.925 (multiplicity 8)
O 0.142 0.007 0.929 (multiplicity 8)
O 0.214 0.295 0.616 (multiplicity 8)
O 0.229 0.021 0.194 (multiplicity 8)